Entry 1:
A plane-wave DFT calculation with GGA-PBE was carried out for a relaxed structure of Mg5GaSn2Pd2.

abc: 10.1327 10.1327 3.9871
angles: 90.00 90.00 90.00
Closest atoms and distances in Å follow each position.
Fractional positions:
Mg: 0.0000 0.5000 0.0000  4 Pd 2.69
Mg: 0.0727 0.2033 0.0000  2 Pd 2.69, 2 Ga 2.96
Mg: 0.2033 0.9273 0.0000  2 Pd 2.69, 2 Ga 2.96
Mg: 0.2967 0.4273 0.0000  2 Pd 2.69, 2 Ga 2.96
Mg: 0.4273 0.7033 0.0000  2 Pd 2.69, 2 Ga 2.96
Mg: 0.5000 0.0000 0.0000  4 Pd 2.69
Mg: 0.5727 0.2967 0.0000  2 Pd 2.69, 2 Ga 2.96
Mg: 0.7033 0.5727 0.0000  2 Pd 2.69, 2 Ga 2.96
Mg: 0.7967 0.0727 0.0000  2 Pd 2.69, 2 Ga 2.96
Mg: 0.9273 0.7967 0.0000  2 Pd 2.69, 2 Ga 2.96
Ga: 0.0000 0.0000 0.5000  8 Mg 2.96
Ga: 0.5000 0.5000 0.5000  8 Mg 2.96
Sn: 0.1706 0.6706 0.5000  3 Pd 2.91-3.04, 2 Mg 3.15
Sn: 0.3294 0.1706 0.5000  3 Pd 2.91-3.04, 2 Mg 3.15
Sn: 0.6706 0.8294 0.5000  3 Pd 2.91-3.04, 2 Mg 3.15
Sn: 0.8294 0.3294 0.5000  3 Pd 2.91-3.04, 2 Mg 3.15
Pd: 0.1265 0.3735 0.5000  6 Mg 2.69, 1 Sn 2.91
Pd: 0.3735 0.8735 0.5000  6 Mg 2.69, 1 Sn 2.91
Pd: 0.6265 0.1265 0.5000  6 Mg 2.69, 1 Sn 2.91
Pd: 0.8735 0.6265 0.5000  6 Mg 2.69, 1 Sn 2.91

DOS(E_F) = 0.39 states/eV per atom
Energy of formation = -0.318 eV/atom
Space-group type = No. 127

Entry 2:
A plane-wave DFT calculation with GGA-PBE was carried out for a relaxed structure of MgGa2Sn2Pd5.

abc: 10.0465 10.0465 3.4983
angles: 90.00 90.00 90.00
Closest atoms and distances in Å follow each position.
Fractional positions:
Mg: 0.0000 0.0000 0.0000  8 Pd 2.76
Mg: 0.5000 0.5000 0.0000  8 Pd 2.76
Ga: 0.1388 0.3612 0.0000  6 Pd 2.63-2.64, 1 Sn 2.70
Ga: 0.3612 0.8612 0.0000  6 Pd 2.63-2.64, 1 Sn 2.70
Ga: 0.6388 0.1388 0.0000  6 Pd 2.63-2.64, 1 Sn 2.70
Ga: 0.8612 0.6388 0.0000  6 Pd 2.63-2.64, 1 Sn 2.70
Sn: 0.1714 0.6714 0.0000  1 Ga 2.70, 6 Pd 2.80-3.00
Sn: 0.3286 0.1714 0.0000  1 Ga 2.70, 6 Pd 2.80-3.00
Sn: 0.6714 0.8286 0.0000  1 Ga 2.70, 6 Pd 2.80-3.00
Sn: 0.8286 0.3286 0.0000  1 Ga 2.70, 6 Pd 2.80-3.00
Pd: 0.0000 0.5000 0.5000  4 Ga 2.64, 4 Pd 2.90
Pd: 0.0125 0.2115 0.5000  2 Ga 2.63, 2 Mg 2.76, 2 Sn 2.80, 1 Pd 2.90
Pd: 0.2115 0.9875 0.5000  2 Ga 2.63, 2 Mg 2.76, 2 Sn 2.80, 1 Pd 2.90
Pd: 0.2885 0.4875 0.5000  2 Ga 2.63, 2 Mg 2.76, 2 Sn 2.80, 1 Pd 2.90
Pd: 0.4875 0.7115 0.5000  2 Ga 2.63, 2 Mg 2.76, 2 Sn 2.80, 1 Pd 2.90
Pd: 0.5000 0.0000 0.5000  4 Ga 2.64, 4 Pd 2.90
Pd: 0.5125 0.2885 0.5000  2 Ga 2.63, 2 Mg 2.76, 2 Sn 2.80, 1 Pd 2.90
Pd: 0.7115 0.5125 0.5000  2 Ga 2.63, 2 Mg 2.76, 2 Sn 2.80, 1 Pd 2.90
Pd: 0.7885 0.0125 0.5000  2 Ga 2.63, 2 Mg 2.76, 2 Sn 2.80, 1 Pd 2.90
Pd: 0.9875 0.7885 0.5000  2 Ga 2.63, 2 Mg 2.76, 2 Sn 2.80, 1 Pd 2.90

DOS(E_F) = 0.28 states/eV per atom
Energy of formation = -0.464 eV/atom
Space-group type = No. 127

Entry 3:
A plane-wave DFT calculation with GGA-PBE was carried out for a relaxed structure of Sr2Mg3Ga12Pd.

abc: 11.1632 11.1632 11.1632
angles: 34.46 34.46 34.46
Closest atoms and distances in Å follow each position.
Fractional positions:
Sr: 0.1483 0.1483 0.1483  12 Ga 3.28-3.61
Sr: 0.8517 0.8517 0.8517  12 Ga 3.28-3.61
Mg: 0.0000 0.5000 0.5000  4 Ga 2.76
Mg: 0.5000 0.0000 0.5000  4 Ga 2.76
Mg: 0.5000 0.5000 0.0000  4 Ga 2.76
Ga: 0.0800 0.0800 0.6693  4 Ga 2.64-2.72, 2 Mg 2.76
Ga: 0.0800 0.6693 0.0800  4 Ga 2.64-2.72, 2 Mg 2.76
Ga: 0.1442 0.5825 0.5825  1 Pd 2.61, 4 Ga 2.64-2.90
Ga: 0.3307 0.9200 0.9200  4 Ga 2.64-2.72, 2 Mg 2.76
Ga: 0.4175 0.4175 0.8558  1 Pd 2.61, 4 Ga 2.64-2.90
Ga: 0.4175 0.8558 0.4175  1 Pd 2.61, 4 Ga 2.64-2.90
Ga: 0.5825 0.1442 0.5825  1 Pd 2.61, 4 Ga 2.64-2.90
Ga: 0.5825 0.5825 0.1442  1 Pd 2.61, 4 Ga 2.64-2.90
Ga: 0.6693 0.0800 0.0800  4 Ga 2.64-2.72, 2 Mg 2.76
Ga: 0.8558 0.4175 0.4175  1 Pd 2.61, 4 Ga 2.64-2.90
Ga: 0.9200 0.3307 0.9200  4 Ga 2.64-2.72, 2 Mg 2.76
Ga: 0.9200 0.9200 0.3307  4 Ga 2.64-2.72, 2 Mg 2.76
Pd: 0.5000 0.5000 0.5000  6 Ga 2.61

DOS(E_F) = 0.33 states/eV per atom
Energy of formation = -0.197 eV/atom
Space-group type = No. 166